1) # Nd2GeI | Alexandria via LeMat-Bulk | PBE | relaxed
data_Nd2GeI
_space_group_name_H-M_alt 'P 1'
_space_group_IT_number 1
_space_group_name_Hall 'P 1'
_cell_length_a 4.3617
_cell_length_b 4.3617
_cell_length_c 23.0746
_cell_angle_alpha 90.00
_cell_angle_beta 90.00
_cell_angle_gamma 120.00
loop_
_atom_site_label
_atom_site_fract_x
_atom_site_fract_y
_atom_site_fract_z
Nd1 0.0000 0.0000 0.2331
Nd2 0.0000 0.0000 0.7669
Nd3 0.3333 0.6667 0.4335
Nd4 0.3333 0.6667 0.8998
Nd5 0.6667 0.3333 0.1002
Nd6 0.6667 0.3333 0.5665
Ge1 0.0000 0.0000 0.5000
Ge2 0.3333 0.6667 0.1667
Ge3 0.6667 0.3333 0.8333
I1 0.0000 0.0000 0.0000
I2 0.3333 0.6667 0.6667
I3 0.6667 0.3333 0.3333
# magnetic moment: 0.00 μB per formula unit
# D(E_F): 0.404 states/eV per atom
# SG: No. 166

---

2) # Nd2GeI | Alexandria via LeMat-Bulk | PBE | relaxed
data_Nd2GeI
_space_group_name_H-M_alt 'P 1'
_space_group_IT_number 1
_space_group_name_Hall 'P 1'
_cell_length_a 3.7082
_cell_length_b 3.7082
_cell_length_c 8.1801
_cell_angle_alpha 90.00
_cell_angle_beta 90.00
_cell_angle_gamma 90.00
loop_
_atom_site_label
_atom_site_fract_x
_atom_site_fract_y
_atom_site_fract_z
Nd1 0.0000 0.0000 0.2188
Nd2 0.0000 0.0000 0.7812
Ge1 0.5000 0.5000 0.0000
I1 0.5000 0.5000 0.5000
# magnetic moment: 0.25 μB per formula unit
# D(E_F): 0.940 states/eV per atom
# SG: No. 123

---

Decreasing stability: 1), 2)

---

1) # NiGeI2 | Alexandria via LeMat-Bulk | PBE | relaxed
data_NiGeI2
_space_group_name_H-M_alt 'P 1'
_space_group_IT_number 1
_space_group_name_Hall 'P 1'
_cell_length_a 6.6326
_cell_length_b 6.6326
_cell_length_c 11.3863
_cell_angle_alpha 90.00
_cell_angle_beta 90.00
_cell_angle_gamma 90.00
loop_
_atom_site_label
_atom_site_fract_x
_atom_site_fract_y
_atom_site_fract_z
Ni1 0.0000 0.0000 0.0000
Ni2 0.0000 0.5000 0.2500
Ni3 0.5000 0.0000 0.7500
Ni4 0.5000 0.5000 0.5000
Ge1 0.0000 0.0000 0.5000
Ge2 0.0000 0.5000 0.7500
Ge3 0.5000 0.0000 0.2500
Ge4 0.5000 0.5000 0.0000
I1 0.1894 0.2500 0.1250
I2 0.2500 0.6894 0.3750
I3 0.2500 0.8106 0.8750
I4 0.3106 0.2500 0.6250
I5 0.6894 0.7500 0.6250
I6 0.7500 0.1894 0.8750
I7 0.7500 0.3106 0.3750
I8 0.8106 0.7500 0.1250
# magnetic moment: 0.00 μB per formula unit
# D(E_F): 0.164 states/eV per atom
# SG: No. 122

---

2) # NiGeI2 | Alexandria via LeMat-Bulk | PBE | relaxed
data_NiGeI2
_space_group_name_H-M_alt 'P 1'
_space_group_IT_number 1
_space_group_name_Hall 'P 1'
_cell_length_a 7.2760
_cell_length_b 7.2760
_cell_length_c 7.2760
_cell_angle_alpha 90.00
_cell_angle_beta 90.00
_cell_angle_gamma 90.00
loop_
_atom_site_label
_atom_site_fract_x
_atom_site_fract_y
_atom_site_fract_z
Ni1 0.0000 0.0000 0.0000
Ni2 0.0000 0.5000 0.5000
Ni3 0.5000 0.0000 0.5000
Ni4 0.5000 0.5000 0.0000
Ge1 0.0000 0.0000 0.5000
Ge2 0.0000 0.5000 0.0000
Ge3 0.5000 0.0000 0.0000
Ge4 0.5000 0.5000 0.5000
I1 0.2500 0.2500 0.2500
I2 0.2500 0.2500 0.7500
I3 0.2500 0.7500 0.2500
I4 0.2500 0.7500 0.7500
I5 0.7500 0.2500 0.2500
I6 0.7500 0.2500 0.7500
I7 0.7500 0.7500 0.2500
I8 0.7500 0.7500 0.7500
# magnetic moment: 0.15 μB per formula unit
# D(E_F): 0.769 states/eV per atom
# SG: No. 225

---

Decreasing stability: 1), 2)